Material: TbZn3
Method: DFT, GGA-PBE
State: optimized geometry

Unit cell a=4.257 b=4.275 c=4.313 alpha=90.00 beta=90.00 gamma=90.00
Fractional positions:
Tb (0.000, 0.000, 0.000)
Zn (0.000, 0.500, 0.500)
Zn (0.500, 0.000, 0.500)
Zn (0.500, 0.500, 0.000)

electronic total energy = -2.324 eV/atom
space-group type = Pmmm, No. 47
crystal system = orthorhombic